[1]
Cs2PdI6Cl: relaxed, PBE-GGA.

The structure belongs to space group I4/mmm (No. 139); the cell edges are 8.1775, 8.1775 and 12.4721 Å and the angles 90.00°, 90.00° and 90.00°. The asymmetric unit holds Cs at (0.0000, 0.5000, 0.2500), Pd at (0.0000, 0.0000, 0.0000), I at (0.0000, 0.0000, 0.2160), I at (0.2384, 0.2384, 0.0000) and Cl at (0.0000, 0.0000, 0.5000).

As for the crystal system: tetragonal. The raw total energy comes out at -2.51 eV per atom. The total moment is 0.00 μB/f.u. The formation energy without anion corrections comes out at -7.02 eV per formula unit. The density comes out at 4.655 g cm⁻³.

***

[2]
Mg3TaB: relaxed, PBE-GGA.

The structure belongs to space group Pm-3m (No. 221); the cell edges are 4.4854, 4.4854 and 4.4854 Å and the angles 90.00°, 90.00° and 90.00°. The asymmetric unit holds Mg at (0.0000, 0.0000, 0.5000), Ta at (0.5000, 0.5000, 0.5000) and B at (0.0000, 0.0000, 0.0000).

As for the crystal system: cubic. The raw total energy comes out at -3.82 eV per atom. For the energy relative to the elements, the calculation gives 0.843 eV/atom. As for the energy above the most stable polymorph in this dataset: 0 meV/atom. The total moment is 0.00 μB/f.u. The density comes out at 4.870 g cm⁻³.

***

[3]
K2CoIr: relaxed, PBE-GGA.

The structure belongs to space group F-43m (No. 216); the cell edges are 7.0739, 7.0739 and 7.0739 Å and the angles 90.00°, 90.00° and 90.00°. The asymmetric unit holds K at (0.0000, 0.0000, 0.0000), K at (0.2500, 0.2500, 0.2500), Co at (0.2500, 0.2500, 0.7500) and Ir at (0.0000, 0.0000, 0.5000).

As for the crystal system: cubic. The raw total energy comes out at -3.40 eV per atom. For the energy relative to the elements, the calculation gives 1.144 eV/atom. As for the energy above the most stable polymorph in this dataset: 680 meV/atom. The total moment is 2.99 μB/f.u. The density comes out at 6.180 g cm⁻³.

***

[4]
NbCdH: relaxed, PBE-GGA.

The structure belongs to space group Imma (No. 74); the cell edges are 5.3541, 5.9065 and 5.3577 Å and the angles 90.00°, 90.00° and 90.00°. The asymmetric unit holds Nb at (0.0000, 0.2500, 0.0112), Cd at (0.0000, 0.0000, 0.5000) and H at (0.2500, 0.2500, 0.2500).

As for the crystal system: orthorhombic. The raw total energy comes out at -4.49 eV per atom. As for the energy above the most stable polymorph in this dataset: 298 meV/atom. The total moment is 0.00 μB/f.u. The density comes out at 8.088 g cm⁻³.

***

Q: Among the records above, which one has the lowest density?
A: Cs2PdI6Cl